Record 1
# ZrCrIr2

A geometry-optimized ZrCrIr2 structure (GGA-PBEsol, Alexandria via LeMat-Bulk).

abc: 6.3039 6.3039 6.3039
angles: 90.00 90.00 90.00
Closest atoms and distances in Å follow each position.
Space group Fm-3m (No. 225)
Symmetry-distinct sites (fractional):
Zr  0.0000  0.0000  0.0000 x4  8 Ir 2.73
Cr  0.0000  0.0000  0.5000 x4  8 Ir 2.73
Ir  0.2500  0.2500  0.2500 x8  4 Cr 2.73, 4 Zr 2.73

Summary:
Its distance to the lowest polymorph of the same formula is 0.66 eV per formula unit. The calculated formation energy comes out at -1.15 eV per formula unit. The crystal system is cubic.


Record 2
# ReAsWSe2

A geometry-optimized ReAsWSe2 structure (GGA-PBEsol, Alexandria via LeMat-Bulk).

abc: 4.7889 4.7889 4.7133
angles: 90.00 90.00 90.00
Closest atoms and distances in Å follow each position.
Space group P4/mmm (No. 123)
Symmetry-distinct sites (fractional):
Re  0.0000  0.0000  0.0000 x1  2 As 2.36, 4 Se 2.39
As  0.0000  0.0000  0.5000 x1  2 Re 2.36
W  0.5000  0.5000  0.5000 x1  8 Se 3.36, 4 As 3.39
Se  0.0000  0.5000  0.0000 x2  2 Re 2.39

Summary:
The crystal system is tetragonal. As for the formation energy from raw total energies: 1.53 eV/atom.


| no. | total DFT energy (no corrections) (hartree per atom) | magnetization (μB/cell) |
| --- | --- | --- |
| 1 | -0.3687 | 16.19 |
| 2 | -0.2375 | 3.13 |